Compound: TiW2O8
Source: Alexandria via LeMat-Bulk
Functional: PBE with a Hubbard U
Structure: optimized geometry

Energy above the lowest structure with this stoichiometry: 0.041 eV/atom
Crystal system: triclinic
Total magnetic moment: 0.0 μB/f.u.

a = 4.974 Å, b = 5.233 Å, c = 6.978 Å
α = 109.44°, β = 90.90°, γ = 104.85°
Space group P-1 (No. 2)
Asymmetric unit:
Ti 0.000 0.000 0.000 x1
W 0.254 0.472 0.824 x2
O 0.097 0.770 0.148 x2
O 0.127 0.745 0.766 x2
O 0.337 0.277 0.591 x2
O 0.369 0.286 0.033 x2